Computed, not measured: a geometry-optimized AlGaHgBi structure at the GGA-PBE level of DFT.

Geometry as CIF:
```
data_AlGaHgBi
_chemical_formula_sum 'Al4 Ga4 Hg4 Bi4'
_cell_length_a 7.313
_cell_length_b 7.313
_cell_length_c 7.313
_cell_angle_alpha 90.00
_cell_angle_beta 90.00
_cell_angle_gamma 90.00
_space_group_name_H-M_alt 'F -4 3 m'
_space_group_IT_number 216
_space_group_name_Hall 'F -4 2 3'
loop_
_atom_site_label
_atom_site_type_symbol
_atom_site_fract_x
_atom_site_fract_y
_atom_site_fract_z
_atom_site_occupancy
Al1 Al 0.000 0.000 0.000 1
Ga1 Ga 0.000 0.000 0.500 1
Hg1 Hg 0.250 0.250 0.750 1
Bi1 Bi 0.250 0.250 0.250 1
```

* ΔH_f (0 K): 147 meV/atom
* calculated density: 8.60 Mg/m³
* N(E_F): 5.32 states/eV/cell

=====

Computed, not measured: a geometry-optimized MgAlGaBi structure at the GGA-PBE level of DFT.

Geometry as CIF:
```
data_MgAlGaBi
_chemical_formula_sum 'Mg4 Al4 Ga4 Bi4'
_cell_length_a 7.175
_cell_length_b 7.175
_cell_length_c 7.175
_cell_angle_alpha 90.00
_cell_angle_beta 90.00
_cell_angle_gamma 90.00
_space_group_name_H-M_alt 'F -4 3 m'
_space_group_IT_number 216
_space_group_name_Hall 'F -4 2 3'
loop_
_atom_site_label
_atom_site_type_symbol
_atom_site_fract_x
_atom_site_fract_y
_atom_site_fract_z
_atom_site_occupancy
Mg1 Mg 0.000 0.000 0.000 1
Al1 Al 0.000 0.000 0.500 1
Ga1 Ga 0.250 0.250 0.750 1
Bi1 Bi 0.250 0.250 0.250 1
```

* ΔH_f (0 K): 87 meV/atom
* calculated density: 5.93 Mg/m³
* N(E_F): 7.14 states/eV/cell

=====

Computed, not measured: a geometry-optimized MgAlGa2Bi structure at the GGA-PBE level of DFT.

Geometry as CIF:
```
data_MgAlGa2Bi
_chemical_formula_sum 'Mg1 Al1 Ga2 Bi1'
_cell_length_a 5.537
_cell_length_b 5.537
_cell_length_c 5.582
_cell_angle_alpha 90.00
_cell_angle_beta 90.00
_cell_angle_gamma 90.00
_space_group_name_H-M_alt 'P 4/m m m'
_space_group_IT_number 123
_space_group_name_Hall '-P 4 2'
loop_
_atom_site_label
_atom_site_type_symbol
_atom_site_fract_x
_atom_site_fract_y
_atom_site_fract_z
_atom_site_occupancy
Mg1 Mg 0.000 0.000 0.000 1
Al1 Al 0.500 0.500 0.000 1
Ga1 Ga 0.000 0.500 0.500 1
Bi1 Bi 0.500 0.500 0.500 1
```

* ΔH_f (0 K): 735 meV/atom
* calculated density: 3.88 Mg/m³
* N(E_F): 2.54 states/eV/cell

=====

calculated density of number 1 (AlGaHgBi)? 8.60 Mg/m³

=====

Which value of ΔH_f (0 K) does entry 2 give? 87 meV/atom

=====

Look up the calculated density of the first one. 8.60 Mg/m³

=====

What is the ΔH_f (0 K) in the first record? 147 meV/atom